Entry 1:
Here is a geometry-optimized CsTlSnCl4 structure from the Alexandria database. Energies are from PBE-GGA.

```
CsTlSnCl4
1.0
-4.1952 0.3297 3.6854
3.3802 -1.9247 4.0200
2.6730 8.6881 -1.9796
Cl Sn Cs Tl
4 1 1 1
Cartesian
0.8210 2.8597 0.6788
1.1318 4.5639 5.1254
3.9281 6.8326 3.8604
0.1404 7.9598 3.6931
1.8433 7.0419 5.7136
0.2250 1.4056 4.3757
1.6076 5.5993 1.3292
```

space-group type = I4mm, No. 107
formation energy from raw total energies = -1.29 eV/atom

Entry 2:
Here is a geometry-optimized SrMg2Se structure from the Alexandria database. Energies are from PBE-GGA.

```
SrMg2Se
1.0
-1.9034 -1.3756 3.0280
-1.9100 -3.4148 -2.7519
3.7378 -5.3713 -0.0907
Mg Sr Se
2 1 1
Cartesian
-1.0170 -3.3936 0.2437
0.1027 -0.3815 -0.1088
0.1055 -6.7294 -0.5662
1.6472 -4.0504 -0.8047
```

space-group type = Pm, No. 6
formation energy from raw total energies = -0.72 eV/atom

Entry 3:
Here is a geometry-optimized RbCuPS2 structure from the Alexandria database. Energies are from PBE-GGA.

```
RbCuPS2
1.0
5.7091 0.0000 0.0000
0.0000 5.7091 0.0000
0.0000 0.0000 5.5582
P S Cu Rb
1 2 1 1
Cartesian
0.0000 0.0000 2.7791
2.8546 0.0000 0.0000
0.0000 2.8546 0.0000
2.8546 2.8546 2.7791
0.0000 0.0000 0.0000
```

space-group type = P4/mmm, No. 123
formation energy from raw total energies = 1.88 eV/atom

Entry 4:
Here is a geometry-optimized SrAl2GaFe structure from the Alexandria database. Energies are from PBE-GGA.

```
SrAl2GaFe
1.0
4.9657 0.0000 0.0000
0.0000 4.7496 0.0000
0.0000 0.0000 4.9657
Al Fe Sr Ga
2 1 1 1
Cartesian
2.4828 0.0000 0.0000
0.0000 0.0000 2.4828
0.0000 2.3748 0.0000
2.4828 2.3748 2.4828
0.0000 0.0000 0.0000
```

space-group type = P4/mmm, No. 123
E = -0.2747 Ry/atom

Entry 5:
Here is a geometry-optimized InCoIr2 structure from the Alexandria database. Energies are from PBE-GGA.

```
InCoIr2
1.0
4.6660 0.0388 0.0000
-1.2905 4.4842 0.0000
0.0000 0.0000 2.8801
Ir In Co
2 1 1
Cartesian
0.0000 0.0000 0.0000
1.6877 2.2615 0.0000
-0.6453 2.2421 1.4401
2.3330 0.0194 1.4401
```

space-group type = Cmmm, No. 65
E = -0.4924 Ry/atom

Entry 6:
Here is a geometry-optimized DyErIr structure from the Alexandria database. Energies are from PBE-GGA.

```
DyErIr
1.0
7.3902 0.0000 0.0000
0.0000 9.0472 0.0000
-3.6951 -4.5236 6.4152
Dy Ir Er
6 6 6
Cartesian
-0.3033 2.2618 2.6321
-1.1607 2.2618 6.4127
2.5344 2.2618 0.0026
3.3936 -2.2618 3.7853
3.3918 2.2618 3.7831
-0.3015 6.7854 2.6299
-1.8262 4.5264 4.2743
-1.8262 -0.0028 4.2743
1.8708 2.2618 6.4124
1.8689 4.5264 2.1409
1.8689 -0.0028 2.1409
5.5659 2.2618 0.0028
4.6072 4.5255 1.6626
0.9121 -0.0019 4.7527
0.0957 4.5236 0.0000
4.6072 -0.0019 1.6626
0.9121 4.5255 4.7527
0.0957 0.0000 0.0000
```

space-group type = Amm2, No. 38
E = -0.4936 Ry/atom

Entry 7:
Here is a geometry-optimized Sr2CaErTe4 structure from the Alexandria database. Energies are from PBE-GGA.

```
Sr2CaErTe4
1.0
4.5407 0.0000 0.0000
0.0000 7.8925 0.1454
0.0000 -2.7512 7.4562
Er Te Sr Ca
1 4 2 1
Cartesian
2.2704 3.9463 0.0727
2.2704 3.8075 5.8333
0.0000 -0.0522 5.7828
2.2704 1.3338 1.7683
0.0000 5.1935 1.8188
2.2704 -1.3756 3.7281
0.0000 2.5707 3.8008
0.0000 0.0000 0.0000
```

space-group type = P2/m, No. 10
formation energy from raw total energies = -1.57 eV/atom

Entry 8:
Here is a geometry-optimized Er2Zn15Rh2 structure from the Alexandria database. Energies are from PBE-GGA.

```
Er2Zn15Rh2
1.0
-0.4806 2.8082 -6.1120
-4.4823 -4.3714 -2.5047
-5.4870 3.7037 1.2845
Rh Zn Er
2 15 2
Cartesian
-9.2884 1.9026 -6.5172
-1.1615 0.2379 -0.8150
-1.9058 3.0631 -4.0064
-5.9091 -1.4015 -3.8300
-4.7683 -2.0727 -1.4260
-4.0618 3.4488 -0.8211
-0.2403 1.4041 -3.0560
-4.5408 3.5420 -3.5023
-2.7435 1.8518 0.6422
-3.3432 -2.3276 -3.5316
-5.2010 1.4049 0.2058
-2.2412 -2.1857 -1.2523
-4.0447 -0.4454 -5.3733
-6.4052 2.5858 -1.9589
-3.9332 2.1437 -5.6112
-1.6198 0.7644 -5.0851
-6.5168 -0.0032 -1.7210
-7.0025 1.4343 -4.9133
-3.4474 0.7061 -2.4189
```

space-group type = R-3m, No. 166
E = -0.1871 Ry/atom

Entry 9:
Here is a geometry-optimized Pm3NdY2 structure from the Alexandria database. Energies are from PBE-GGA.

```
Pm3NdY2
1.0
-3.8694 10.3801 -2.1609
-3.5615 5.9927 5.6883
2.6211 7.8487 3.5329
Y Pm Nd
4 6 2
Cartesian
-2.3431 8.3466 0.4661
-3.8799 14.0068 0.9318
-2.4666 15.8749 6.5943
-0.9298 10.2147 6.1286
0.3800 6.5628 1.3690
-2.7114 5.6348 2.4467
-0.8592 12.5748 2.9914
-5.1897 17.6587 5.6914
-3.9505 11.6468 4.0690
-2.0984 18.5867 4.6137
-0.4702 6.9207 4.6106
0.0000 0.0000 0.0000
```

space-group type = Ibam, No. 72
E = -0.3500 Ry/atom

Entry 10:
Here is a geometry-optimized TbPr6Nd2Dy structure from the Alexandria database. Energies are from PBE-GGA.

```
TbPr6Nd2Dy
1.0
9.4310 -2.1664 -2.2483
0.7741 8.7634 -2.0715
0.7741 -2.3948 8.6806
Tb Nd Pr Dy
2 4 12 2
Cartesian
7.8473 -3.7892 6.7724
3.1318 7.9914 -2.4115
10.1946 2.1896 3.3760
5.5000 -0.1735 0.9236
5.4792 4.3757 3.4374
0.7845 2.0126 0.9849
8.7338 -0.3682 5.8547
2.2453 4.5704 -1.4937
6.9608 -2.7453 3.3878
5.0756 -0.9151 6.1329
2.0538 4.7360 2.5933
5.9035 5.1173 -1.7720
8.9254 -0.5338 1.7677
6.7692 1.3328 3.7047
4.2099 2.8694 0.6562
1.1880 -0.8772 6.1723
9.7911 5.0794 -1.8113
4.0183 6.9475 0.9732
3.1318 1.6199 3.7281
7.8473 2.5823 0.6328
```

space-group type = C2/c, No. 15
E = -0.3405 Ry/atom

Entry 11:
Here is a geometry-optimized FeAs structure from the Alexandria database. Energies are from PBE-GGA.

```
FeAs
1.0
-3.5415 2.0616 1.5240
-3.9571 -1.7895 -0.5036
-2.1353 -1.5944 3.4660
Fe As
2 2
Cartesian
-7.2254 -0.9917 3.3648
-4.8170 -0.6612 2.2432
0.0000 0.0000 0.0000
-2.4085 -0.3306 1.1216
```

space-group type = Fd-3m, No. 227
E = -0.4523 Ry/atom

Entry 12:
Here is a geometry-optimized LaTb5Sm4 structure from the Alexandria database. Energies are from PBE-GGA.

```
LaTb5Sm4
1.0
-2.5116 -5.5286 0.3997
5.2482 -5.5418 2.6508
-3.3000 -1.3256 7.2549
Tb Sm La
5 4 1
Cartesian
2.9473 -4.1318 1.6969
-1.6972 -3.7359 0.2701
-3.1855 -7.5483 8.5568
-3.1230 -4.6259 3.0460
2.8848 -7.0543 7.2076
-1.6824 -5.3172 5.9341
1.2599 -6.7685 4.3488
-0.6993 -9.0376 6.9773
0.2768 -3.0480 3.3056
-0.5167 -1.1375 0.0822
```

space-group type = I4mm, No. 107
E = -0.3266 Ry/atom